Crystalline Na3As4H5O14 at its relaxed geometry, computed with PBE-GGA.

abc: 9.6028 10.2412 12.0489
angles: 90.00 90.00 90.00
Fractional positions:
Na1 0.8724 0.9291 0.6442
Na2 0.8819 0.0738 0.3556
Na3 0.1181 0.9262 0.8556
Na4 0.1276 0.0709 0.1442
Na5 0.6181 0.5738 0.3556
Na6 0.6276 0.4291 0.6442
Na7 0.3724 0.5709 0.1442
Na8 0.3819 0.4262 0.8556
Na9 0.9935 0.5488 0.7432
Na10 0.0065 0.4512 0.2432
Na11 0.4935 0.9512 0.2432
Na12 0.5065 0.0488 0.7432
As1 0.7955 0.7886 0.8951
As2 0.7997 0.2126 0.1071
As3 0.2003 0.7874 0.6071
As4 0.2045 0.2114 0.3951
As5 0.7003 0.7126 0.1071
As6 0.7045 0.2886 0.8951
As7 0.2955 0.7114 0.3951
As8 0.2997 0.2874 0.6071
As9 0.4689 0.7880 0.9295
As10 0.4708 0.2063 0.0717
As11 0.5292 0.7937 0.5717
As12 0.5311 0.2120 0.4295
As13 0.0292 0.7063 0.0717
As14 0.0311 0.2880 0.9295
As15 0.9689 0.7120 0.4295
As16 0.9708 0.2937 0.5717
H1 0.8340 0.0141 0.8894
H2 0.8370 0.9869 0.1127
H3 0.1630 0.0131 0.6127
H4 0.1660 0.9859 0.3894
H5 0.6630 0.4869 0.1127
H6 0.6660 0.5141 0.8894
H7 0.3340 0.4859 0.3894
H8 0.3370 0.5131 0.6127
H9 0.7279 0.6971 0.7208
H10 0.7358 0.3061 0.2808
H11 0.2642 0.6939 0.7808
H12 0.2721 0.3029 0.2208
H13 0.7642 0.8061 0.2808
H14 0.7721 0.1971 0.7208
H15 0.2279 0.8029 0.2208
H16 0.2358 0.1939 0.7808
H17 0.3658 0.9870 0.9895
H18 0.6342 0.0130 0.4895
H19 0.1342 0.4870 0.9895
H20 0.8658 0.5130 0.4895
O1 0.8680 0.9398 0.8423
O2 0.8738 0.0610 0.1586
O3 0.1262 0.9390 0.6586
O4 0.1320 0.0602 0.3423
O5 0.6262 0.5610 0.1586
O6 0.6320 0.4398 0.8423
O7 0.3680 0.5602 0.3423
O8 0.3738 0.4390 0.6586
O9 0.3869 0.6564 0.8795
O10 0.3915 0.3413 0.1205
O11 0.6085 0.6587 0.6205
O12 0.6131 0.3436 0.3795
O13 0.1085 0.8413 0.1205
O14 0.1131 0.1564 0.8795
O15 0.8869 0.8436 0.3795
O16 0.8915 0.1587 0.6205
O17 0.6115 0.8489 0.8538
O18 0.6183 0.1539 0.1484
O19 0.3817 0.8461 0.6484
O20 0.3885 0.1511 0.3538
O21 0.8817 0.6539 0.1484
O22 0.8885 0.3489 0.8538
O23 0.1115 0.6511 0.3538
O24 0.1183 0.3461 0.6484
O25 0.3549 0.9212 0.9203
O26 0.3651 0.0723 0.0817
O27 0.6349 0.9277 0.5817
O28 0.6451 0.0788 0.4203
O29 0.1349 0.5723 0.0817
O30 0.1451 0.4212 0.9203
O31 0.8549 0.5788 0.4203
O32 0.8651 0.4277 0.5817
O33 0.9801 0.7271 0.9312
O34 0.9873 0.2727 0.0706
O35 0.0127 0.7273 0.5706
O36 0.0199 0.2729 0.4312
O37 0.5127 0.7727 0.0706
O38 0.5199 0.2271 0.9312
O39 0.4801 0.7729 0.4312
O40 0.4873 0.2273 0.5706
O41 0.8180 0.7085 0.7630
O42 0.8257 0.2929 0.2389
O43 0.1743 0.7071 0.7389
O44 0.1820 0.2915 0.2630
O45 0.6743 0.7929 0.2389
O46 0.6820 0.2085 0.7630
O47 0.3180 0.7915 0.2630
O48 0.3257 0.2071 0.7389
O49 0.7151 0.6445 0.9631
O50 0.7230 0.3576 0.0384
O51 0.2770 0.6424 0.5384
O52 0.2849 0.3555 0.4631
O53 0.7770 0.8576 0.0384
O54 0.7849 0.1445 0.9631
O55 0.2151 0.8555 0.4631
O56 0.2230 0.1424 0.5384

Raw total energy   -5.510 eV per atom
Total moment   0.52 Bohr magnetons per cell
Calculated density   3.4 g/cm3
DOS(E_F)   0.0000 states/eV per atom


Crystalline NaAs3H2O9 at its relaxed geometry, computed with PBE-GGA.

abc: 7.3483 7.7265 8.0571
angles: 110.59 107.31 106.13
Site moments in Bohr magnetons follow the coordinates.
Fractional positions:
Na1 0.6799 0.1805 0.9541  0.00
Na2 0.3201 0.8195 0.0459  0.00
As1 0.6344 0.6551 0.8310  0.00
As2 0.3656 0.3449 0.1690  0.00
As3 0.8464 0.5645 0.5224  0.00
As4 0.1536 0.4355 0.4776  0.00
As5 0.8147 0.1671 0.5476  0.00
As6 0.1853 0.8329 0.4524  0.00
H1 0.8800 0.6449 0.0778  0.00
H2 0.1200 0.3551 0.9222  0.00
H3 0.6369 0.8115 0.3896  0.00
H4 0.3631 0.1885 0.6104  0.00
O1 0.6053 0.8611 0.9510  0.05
O2 0.3947 0.1389 0.0490  0.05
O3 0.7265 0.5415 0.9692  0.01
O4 0.2735 0.4585 0.0308  0.01
O5 0.8961 0.2046 0.7797  0.01
O6 0.1039 0.7954 0.2203  0.01
O7 0.8170 0.7207 0.7379  0.00
O8 0.1830 0.2793 0.2621  0.00
O9 0.9100 0.4328 0.3187  0.00
O10 0.0900 0.5672 0.6813  0.00
O11 0.6043 0.5592 0.3531  0.00
O12 0.3957 0.4408 0.6469  0.00
O13 0.6092 0.9252 0.3734  0.00
O14 0.3908 0.0748 0.6266  0.00
O15 0.9920 0.8177 0.5403  0.00
O16 0.0080 0.1823 0.4597  0.00
O17 0.6815 0.3138 0.4976  0.01
O18 0.3185 0.6862 0.5024  0.01

Raw total energy   -5.670 eV per atom
Total moment   0.21 Bohr magnetons per cell
Calculated density   3.5 g/cm3
DOS(E_F)   0.0000 states/eV per atom


Crystalline Na3Zn4As3H12O19 at its relaxed geometry, computed with PBE-GGA.

abc: 10.9662 10.9662 10.9662
angles: 61.95 61.95 61.95
Fractional positions:
Na1 0.9447 0.0536 0.6874
Na2 0.4447 0.1874 0.5536
Na3 0.0536 0.6874 0.9447
Na4 0.1874 0.5536 0.4447
Na5 0.5536 0.4447 0.1874
Na6 0.6874 0.9447 0.0536
Zn1 0.2942 0.0007 0.0019
Zn2 0.5019 0.5007 0.7942
Zn3 0.7942 0.5019 0.5007
Zn4 0.0019 0.0019 0.0019
Zn5 0.5019 0.5019 0.5019
Zn6 0.0019 0.2942 0.0007
Zn7 0.5007 0.7942 0.5019
Zn8 0.0007 0.0019 0.2942
As1 0.8200 0.3118 0.8251
As2 0.3200 0.3251 0.8118
As3 0.8118 0.3200 0.3251
As4 0.3118 0.8251 0.8200
As5 0.8251 0.8200 0.3118
As6 0.3251 0.8118 0.3200
H1 0.6777 0.0111 0.7456
H2 0.6255 0.1413 0.8013
H3 0.2177 0.0351 0.4609
H4 0.1255 0.3013 0.6413
H5 0.5351 0.7177 0.9609
H6 0.1777 0.2456 0.5111
H7 0.6413 0.1255 0.3013
H8 0.6585 0.5802 0.9178
H9 0.0802 0.1585 0.4178
H10 0.9609 0.5351 0.7177
H11 0.5111 0.1777 0.2456
H12 0.4178 0.0802 0.1585
H13 0.9178 0.6585 0.5802
H14 0.0111 0.7456 0.6777
H15 0.4609 0.2177 0.0351
H16 0.5802 0.9178 0.6585
H17 0.1585 0.4178 0.0802
H18 0.1413 0.8013 0.6255
H19 0.0351 0.4609 0.2177
H20 0.2456 0.5111 0.1777
H21 0.7177 0.9609 0.5351
H22 0.8013 0.6255 0.1413
H23 0.3013 0.6413 0.1255
H24 0.7456 0.6777 0.0111
O1 0.8284 0.1355 0.9356
O2 0.6992 0.0450 0.8011
O3 0.3529 0.1523 0.8193
O4 0.1536 0.3810 0.9383
O5 0.4567 0.3204 0.8540
O6 0.9567 0.3540 0.8204
O7 0.6536 0.4383 0.8810
O8 0.8529 0.3193 0.6523
O9 0.1427 0.1282 0.4757
O10 0.6282 0.6427 0.9757
O11 0.9383 0.1536 0.3810
O12 0.1992 0.3011 0.5450
O13 0.3193 0.6523 0.8529
O14 0.3284 0.4356 0.6355
O15 0.6355 0.3284 0.4356
O16 0.3540 0.8204 0.9567
O17 0.5450 0.1992 0.3011
O18 0.9757 0.6282 0.6427
O19 0.0761 0.0761 0.0761
O20 0.5761 0.5761 0.5761
O21 0.4757 0.1427 0.1282
O22 0.0450 0.8011 0.6992
O23 0.8540 0.4567 0.3204
O24 0.1355 0.9356 0.8284
O25 0.8193 0.3529 0.1523
O26 0.8810 0.6536 0.4383
O27 0.4383 0.8810 0.6536
O28 0.1282 0.4757 0.1427
O29 0.6427 0.9757 0.6282
O30 0.4356 0.6355 0.3284
O31 0.3011 0.5450 0.1992
O32 0.3204 0.8540 0.4567
O33 0.1523 0.8193 0.3529
O34 0.6523 0.8529 0.3193
O35 0.8204 0.9567 0.3540
O36 0.8011 0.6992 0.0450
O37 0.9356 0.8284 0.1355
O38 0.3810 0.9383 0.1536

Raw total energy   -5.155 eV per atom
Total moment   0.00 Bohr magnetons per cell
Calculated density   3.0 g/cm3
DOS(E_F)   0.0000 states/eV per atom


Crystalline NaAsHOs2 at its relaxed geometry, computed with PBE-GGA.

abc: 4.6649 4.7076 4.6649
angles: 90.00 90.00 90.00
Site moments in Bohr magnetons follow the coordinates.
Fractional positions:
Na1 0.0000 0.0000 0.0000  0.01
As1 0.0000 0.5000 0.0000  -0.12
Os1 0.0000 0.0000 0.5000  1.56
Os2 0.5000 0.0000 0.0000  1.76
H1 0.5000 0.5000 0.5000  -0.15

Raw total energy   -3.149 eV per atom
Total moment   3.12 Bohr magnetons per cell
Calculated density   7.8 g/cm3
DOS(E_F)   1.0745 states/eV per atom


Crystalline NaAsP2H6 at its relaxed geometry, computed with PBE-GGA.

abc: 6.1460 6.1460 7.0042
angles: 90.04 90.04 88.62
Fractional positions:
Na1 0.2005 0.7995 0.2500
Na2 0.7995 0.2005 0.7500
As1 0.6846 0.3154 0.2500
As2 0.3154 0.6846 0.7500
P1 0.2801 0.2521 0.7502
P2 0.7479 0.7199 0.7498
P3 0.7199 0.7479 0.2498
P4 0.2521 0.2801 0.2502
H1 0.9750 0.2830 0.2501
H2 0.7170 0.0250 0.2499
H3 0.0250 0.7170 0.7499
H4 0.2830 0.9750 0.7501
H5 0.2341 0.4353 0.0976
H6 0.5647 0.7659 0.4024
H7 0.7659 0.5647 0.9024
H8 0.4353 0.2341 0.5976
H9 0.2344 0.4355 0.4030
H10 0.5645 0.7656 0.0970
H11 0.7656 0.5645 0.5970
H12 0.4355 0.2344 0.9030

Raw total energy   -3.597 eV per atom
Total moment   0.00 Bohr magnetons per cell
Calculated density   2.1 g/cm3
DOS(E_F)   0.3172 states/eV per atom


Crystalline Na2AsHPb at its relaxed geometry, computed with PBE-GGA.

abc: 4.5684 4.5684 4.8645
angles: 90.00 90.00 90.00
Fractional positions:
Pb1 0.0000 0.0000 0.5000
Na1 0.0000 0.5000 0.0000
Na2 0.5000 0.0000 0.0000
As1 0.5000 0.5000 0.5000
H1 0.0000 0.0000 0.0000

Raw total energy   -3.037 eV per atom
Total moment   0.00 Bohr magnetons per cell
Calculated density   5.4 g/cm3
DOS(E_F)   0.0976 states/eV per atom